First-principles (PBE) data for a geometry-optimized PrCN5 structure, as listed in the Open Quantum Materials Database.

It has space group P1 (No. 1), with a = 4.528 Å, b = 4.565 Å, c = 5.300 Å, α = 70.17°, β = 67.95° and γ = 89.78°. Symmetry generates all atoms from Pr at (0.000, 0.000, 0.000), C at (0.520, 0.696, 0.750), N at (0.223, 0.553, 0.836), N at (0.244, 0.203, 0.347), N at (0.501, 0.246, 0.318), N at (0.556, 0.863, 0.902) and N at (0.745, 0.678, 0.512).

As for the calculated density: 3.9 Mg/m³. As for the magnetization: 0.00 μB per atom. Its total energy is -7.8507 eV/atom.